This record from Alexandria via LeMat-Bulk describes a relaxed structure of KRbPaF6. The functional is GGA-PBE.

Results
Energy relative to the elements, uncorrected ... -3.42 eV/atom
E ... -5.96 eV per atom
Density ... 3.82 g/cm3
Total moment ... 1.000 μB per formula unit

a = 6.7711 Å, b = 6.7711 Å, c = 10.2698 Å
α = 90.00°, β = 90.00°, γ = 120.00°
Space group P-31c (No. 163)
Symmetry-distinct sites (fractional):
K (0.3333, 0.6667, 0.2500) (multiplicity 2)
Rb (0.0000, 0.0000, 0.0000) (multiplicity 2)
Pa (0.3333, 0.6667, 0.7500) (multiplicity 2)
F (0.0535, 0.3924, 0.6362) (multiplicity 12)